# 1
Entry from OQMD: a relaxed structure of YNpBr6 (PBE).

Geometry as extended XYZ:
```
8
Lattice="3.686 -6.318 0.000 3.686 6.318 0.000 -2.468 0.000 6.737" Properties=species:S:1:pos:R:3 pbc="T T T"
Br 1.065 -0.042 1.607
Br -0.063 2.282 5.129
Y 3.686 4.204 0.000
Np 3.686 -4.206 0.000
Br 3.838 -0.042 5.130
Br 5.074 -2.239 1.609
Br 4.965 2.282 1.608
Br -0.171 -2.239 5.128
```

Calculated values
Crystal system: monoclinic
Total energy: -5.282 eV/atom

=====

# 2
Entry from OQMD: a relaxed structure of RbOsBr4O (PBE).

Geometry as extended XYZ:
```
7
Lattice="7.112 -1.866 0.000 7.112 1.866 0.000 -2.623 0.000 7.755" Properties=species:S:1:pos:R:3 pbc="T T T"
Br 3.328 -0.001 5.494
Br 8.273 -0.001 2.260
Os 7.112 0.002 0.000
Br 6.748 0.000 6.650
Rb 5.801 -1.865 3.877
Br 4.853 0.000 1.105
O 7.112 -1.864 0.000
```

Calculated values
Crystal system: monoclinic
Total energy: -4.169 eV/atom